## KPm2HgS4 (PBE-GGA)

Data for a relaxed structure of KPm2HgS4.

CIF file:
```
data_KPm2HgS4
_chemical_formula_sum 'K4 Pm8 Hg4 S16'
_cell_length_a 4.177
_cell_length_b 13.918
_cell_length_c 14.611
_cell_angle_alpha 90.00
_cell_angle_beta 90.00
_cell_angle_gamma 90.00
_space_group_name_H-M_alt 'C m c m'
_space_group_IT_number 63
_space_group_name_Hall '-C 2c 2'
loop_
_atom_site_label
_atom_site_type_symbol
_atom_site_fract_x
_atom_site_fract_y
_atom_site_fract_z
_atom_site_occupancy
K1 K 0.000 0.123 0.250 1
Pm1 Pm 0.000 0.374 0.056 1
Hg1 Hg 0.000 0.157 0.750 1
S1 S 0.000 0.000 0.000 1
S2 S 0.000 0.265 0.604 1
S3 S 0.000 0.451 0.250 1
```

## Properties
Raw total energy: -4.82 eV per atom
D(E_F): 0.3375 states/eV per atom
Uncorrected formation energy: -1.39 eV/atom